Record 1
An optimized crystal structure of SrNbSe2Br. Source: Alexandria, functional PBE-GGA.

The value obtained for the energy above the most stable polymorph in this dataset is 0 meV per atom.

The structure belongs to space group P4/mmm (No. 123); the cell edges are 5.116, 5.116 and 5.246 Å and the angles 90.00°, 90.00° and 90.00°. The inequivalent atoms are Sr at (0.000, 0.000, 0.000), Nb at (0.500, 0.500, 0.500), Se at (0.000, 0.500, 0.500) and Br at (0.500, 0.500, 0.000).

***

Record 2
An optimized crystal structure of TaNbSeBr2. Source: Alexandria, functional PBE-GGA.

The value obtained for the energy above the most stable polymorph in this dataset is 0 meV per atom.

The structure belongs to space group P4/mmm (No. 123); the cell edges are 5.099, 5.099 and 5.082 Å and the angles 90.00°, 90.00° and 90.00°. The inequivalent atoms are Ta at (0.000, 0.000, 0.000), Nb at (0.500, 0.500, 0.500), Se at (0.000, 0.000, 0.500) and Br at (0.000, 0.500, 0.000).

***

Record 3
An optimized crystal structure of TaNbSeBr2. Source: Alexandria, functional PBE-GGA.

The value obtained for the energy above the most stable polymorph in this dataset is 185 meV per atom.

The structure belongs to space group P4/mmm (No. 123); the cell edges are 5.107, 5.107 and 5.124 Å and the angles 90.00°, 90.00° and 90.00°. The inequivalent atoms are Ta at (0.000, 0.000, 0.000), Nb at (0.500, 0.500, 0.500), Se at (0.500, 0.500, 0.000) and Br at (0.000, 0.500, 0.500).